1.
# LaTcRh2 (PBE, optimized geometry)
data_LaTcRh2
_chemical_formula_sum 'La2 Tc2 Rh4'
_symmetry_space_group_name_H-M 'I m m 2'
_symmetry_Int_Tables_number 44
_symmetry_space_group_name_Hall 'I 2 -2'
_cell_length_a 2.945
_cell_length_b 4.796
_cell_length_c 10.233
_cell_angle_alpha 90.00
_cell_angle_beta 90.00
_cell_angle_gamma 90.00
loop_
_atom_site_label
_atom_site_type_symbol
_atom_site_fract_x
_atom_site_fract_y
_atom_site_fract_z
La1 La 0.000 0.000 0.000
Tc1 Tc 0.000 0.500 0.222
Rh1 Rh 0.000 0.000 0.505
Rh2 Rh 0.000 0.500 0.772
# - D(E_F) (states/eV/atom) = 1.104
# - energy of formation (eV/atom) = 0.075
# - energy above the most stable polymorph in this dataset (meV per atom) = 131.2


2.
# HWCl6 (PBE, optimized geometry)
data_HWCl6
_chemical_formula_sum 'H4 W4 Cl24'
_symmetry_space_group_name_H-M 'C 1 2 1'
_symmetry_Int_Tables_number 5
_symmetry_space_group_name_Hall 'C 2y'
_cell_length_a 14.181
_cell_length_b 9.071
_cell_length_c 10.148
_cell_angle_alpha 90.00
_cell_angle_beta 129.18
_cell_angle_gamma 90.00
loop_
_atom_site_label
_atom_site_type_symbol
_atom_site_fract_x
_atom_site_fract_y
_atom_site_fract_z
H1 H 0.228 0.000 0.064
W1 W 0.249 0.173 0.499
Cl1 Cl 0.066 0.609 0.250
Cl2 Cl 0.067 0.235 0.242
Cl3 Cl 0.168 0.923 0.459
Cl4 Cl 0.176 0.231 0.639
Cl5 Cl 0.176 0.617 0.645
Cl6 Cl 0.198 0.926 0.934
# - D(E_F) (states/eV/atom) = 0.604
# - energy above the most stable polymorph in this dataset (meV per atom) = 18.2


3.
# AlMo3 (PBE, optimized geometry)
data_AlMo3
_chemical_formula_sum 'Al2 Mo6'
_symmetry_space_group_name_H-M 'I m m m'
_symmetry_Int_Tables_number 71
_symmetry_space_group_name_Hall '-I 2 2'
_cell_length_a 3.183
_cell_length_b 4.420
_cell_length_c 8.852
_cell_angle_alpha 90.00
_cell_angle_beta 90.00
_cell_angle_gamma 90.00
loop_
_atom_site_label
_atom_site_type_symbol
_atom_site_fract_x
_atom_site_fract_y
_atom_site_fract_z
Al1 Al 0.000 0.000 0.000
Mo1 Mo 0.000 0.000 0.500
Mo2 Mo 0.000 0.500 0.240
# - D(E_F) (states/eV/atom) = 0.758
# - energy of formation (eV/atom) = -0.112
# - energy above the most stable polymorph in this dataset (meV per atom) = 140.1


4.
# TaZn2W (PBE, optimized geometry)
data_TaZn2W
_chemical_formula_sum 'Ta1 Zn2 W1'
_symmetry_space_group_name_H-M 'P 4 m m'
_symmetry_Int_Tables_number 99
_symmetry_space_group_name_Hall 'P 4 -2'
_cell_length_a 2.739
_cell_length_b 2.739
_cell_length_c 8.425
_cell_angle_alpha 90.00
_cell_angle_beta 90.00
_cell_angle_gamma 90.00
loop_
_atom_site_label
_atom_site_type_symbol
_atom_site_fract_x
_atom_site_fract_y
_atom_site_fract_z
Ta1 Ta 0.000 0.000 0.000
Zn1 Zn 0.000 0.000 0.521
Zn2 Zn 0.500 0.500 0.749
W1 W 0.500 0.500 0.279
# - D(E_F) (states/eV/atom) = 0.586
# - energy of formation (eV/atom) = 0.142
# - energy above the most stable polymorph in this dataset (meV per atom) = 62.6


5.
# Tb3GeSCl (PBE, optimized geometry)
data_Tb3GeSCl
_chemical_formula_sum 'Tb6 Ge2 S2 Cl2'
_symmetry_space_group_name_H-M 'P 1 21/m 1'
_symmetry_Int_Tables_number 11
_symmetry_space_group_name_Hall '-P 2yb'
_cell_length_a 7.376
_cell_length_b 3.936
_cell_length_c 10.613
_cell_angle_alpha 90.00
_cell_angle_beta 107.49
_cell_angle_gamma 90.00
loop_
_atom_site_label
_atom_site_type_symbol
_atom_site_fract_x
_atom_site_fract_y
_atom_site_fract_z
Tb1 Tb 0.172 0.250 0.146
Tb2 Tb 0.200 0.250 0.491
Tb3 Tb 0.307 0.750 0.838
Ge1 Ge 0.006 0.250 0.702
S1 S 0.410 0.750 0.108
Cl1 Cl 0.470 0.750 0.622
# - E_form (uncorrected) (eV per formula unit) = -8.50
# - D(E_F) (states/eV/atom) = 0.529


6.
# Mg2TlPb2 (PBE, optimized geometry)
data_Mg2TlPb2
_chemical_formula_sum 'Mg4 Tl2 Pb4'
_symmetry_space_group_name_H-M 'C m m m'
_symmetry_Int_Tables_number 65
_symmetry_space_group_name_Hall '-C 2 2'
_cell_length_a 3.392
_cell_length_b 17.001
_cell_length_c 5.035
_cell_angle_alpha 90.00
_cell_angle_beta 90.00
_cell_angle_gamma 90.00
loop_
_atom_site_label
_atom_site_type_symbol
_atom_site_fract_x
_atom_site_fract_y
_atom_site_fract_z
Mg1 Mg 0.000 0.177 0.000
Tl1 Tl 0.000 0.000 0.000
Pb1 Pb 0.000 0.391 0.500
# - D(E_F) (states/eV/atom) = 0.374
# - energy of formation (eV/atom) = 0.064
# - energy above the most stable polymorph in this dataset (meV per atom) = 79.1


7.
# Cs2CuH12S2O14 (PBE, optimized geometry)
data_Cs2CuH12S2O14
_chemical_formula_sum 'Cs4 Cu2 H24 S4 O28'
_symmetry_space_group_name_H-M 'P 1 21/c 1'
_symmetry_Int_Tables_number 14
_symmetry_space_group_name_Hall '-P 2ybc'
_cell_length_a 6.371
_cell_length_b 12.890
_cell_length_c 9.522
_cell_angle_alpha 90.00
_cell_angle_beta 105.23
_cell_angle_gamma 90.00
loop_
_atom_site_label
_atom_site_type_symbol
_atom_site_fract_x
_atom_site_fract_y
_atom_site_fract_z
Cs1 Cs 0.148 0.145 0.388
Cu1 Cu 0.500 0.000 0.000
H1 H 0.180 0.567 0.596
H2 H 0.186 0.094 0.813
H3 H 0.204 0.639 0.464
H4 H 0.417 0.603 0.195
H5 H 0.418 0.125 0.783
H6 H 0.481 0.689 0.315
S1 S 0.236 0.646 0.874
O1 O 0.097 0.586 0.748
O2 O 0.117 0.743 0.893
O3 O 0.219 0.565 0.500
O4 O 0.278 0.581 0.007
O5 O 0.342 0.109 0.859
O6 O 0.446 0.674 0.840
O7 O 0.492 0.116 0.206
# - VASP energy (eV per atom) = -5.249


8.
# ScHgMo2 (PBE, optimized geometry)
data_ScHgMo2
_chemical_formula_sum 'Sc2 Hg2 Mo4'
_symmetry_space_group_name_H-M 'C m m 2'
_symmetry_Int_Tables_number 35
_symmetry_space_group_name_Hall 'C 2 -2'
_cell_length_a 3.321
_cell_length_b 4.812
_cell_length_c 9.284
_cell_angle_alpha 90.00
_cell_angle_beta 90.00
_cell_angle_gamma 90.00
loop_
_atom_site_label
_atom_site_type_symbol
_atom_site_fract_x
_atom_site_fract_y
_atom_site_fract_z
Sc1 Sc 0.000 0.000 0.000
Hg1 Hg 0.000 0.500 0.273
Mo1 Mo 0.000 0.000 0.542
Mo2 Mo 0.000 0.500 0.754
# - D(E_F) (states/eV/atom) = 1.056
# - energy of formation (eV/atom) = 0.169


9.
# HgAsF4 (PBE, optimized geometry)
data_HgAsF4
_chemical_formula_sum 'Hg2 As2 F8'
_symmetry_space_group_name_H-M 'P -1'
_symmetry_Int_Tables_number 2
_symmetry_space_group_name_Hall '-P 1'
_cell_length_a 5.437
_cell_length_b 6.215
_cell_length_c 7.337
_cell_angle_alpha 104.58
_cell_angle_beta 90.22
_cell_angle_gamma 93.78
loop_
_atom_site_label
_atom_site_type_symbol
_atom_site_fract_x
_atom_site_fract_y
_atom_site_fract_z
Hg1 Hg 0.040 0.291 0.451
As1 As 0.428 0.783 0.130
F1 F 0.130 0.952 0.331
F2 F 0.302 0.333 0.996
F3 F 0.409 0.946 0.799
F4 F 0.480 0.303 0.666
# - E_form (uncorrected) (eV per formula unit) = -11.06
# - D(E_F) (states/eV/atom) = 0.000
# - energy above the most stable polymorph in this dataset (meV per atom) = 0.0


10.
# Sm2TmCd (PBE, optimized geometry)
data_Sm2TmCd
_chemical_formula_sum 'Sm2 Tm1 Cd1'
_symmetry_space_group_name_H-M 'P 4/m m m'
_symmetry_Int_Tables_number 123
_symmetry_space_group_name_Hall '-P 4 2'
_cell_length_a 3.630
_cell_length_b 3.630
_cell_length_c 9.101
_cell_angle_alpha 90.00
_cell_angle_beta 90.00
_cell_angle_gamma 90.00
loop_
_atom_site_label
_atom_site_type_symbol
_atom_site_fract_x
_atom_site_fract_y
_atom_site_fract_z
Sm1 Sm 0.000 0.000 0.230
Tm1 Tm 0.500 0.500 0.500
Cd1 Cd 0.500 0.500 0.000
# - D(E_F) (states/eV/atom) = 1.252
# - energy of formation (eV/atom) = -0.134
# - energy above the most stable polymorph in this dataset (meV per atom) = 13.0


11.
# TmIn2PbS4 (PBE, optimized geometry)
data_TmIn2PbS4
_chemical_formula_sum 'Tm1 In2 Pb1 S4'
_symmetry_space_group_name_H-M 'P 1 2/m 1'
_symmetry_Int_Tables_number 10
_symmetry_space_group_name_Hall '-P 2y'
_cell_length_a 7.213
_cell_length_b 3.974
_cell_length_c 7.347
_cell_angle_alpha 90.00
_cell_angle_beta 107.75
_cell_angle_gamma 90.00
loop_
_atom_site_label
_atom_site_type_symbol
_atom_site_fract_x
_atom_site_fract_y
_atom_site_fract_z
Tm1 Tm 0.000 0.000 0.000
In1 In 0.500 0.000 0.500
In2 In 0.500 0.500 0.000
Pb1 Pb 0.000 0.500 0.500
S1 S 0.220 0.500 0.211
S2 S 0.245 0.000 0.779
# - E_form (uncorrected) (eV per formula unit) = -7.11
# - D(E_F) (states/eV/atom) = 0.383


12.
# Al2ZnPd4 (PBE, optimized geometry)
data_Al2ZnPd4
_chemical_formula_sum 'Al4 Zn2 Pd8'
_symmetry_space_group_name_H-M 'I 4/m m m'
_symmetry_Int_Tables_number 139
_symmetry_space_group_name_Hall '-I 4 2'
_cell_length_a 6.081
_cell_length_b 6.081
_cell_length_c 5.877
_cell_angle_alpha 90.00
_cell_angle_beta 90.00
_cell_angle_gamma 90.00
loop_
_atom_site_label
_atom_site_type_symbol
_atom_site_fract_x
_atom_site_fract_y
_atom_site_fract_z
Al1 Al 0.000 0.500 0.000
Zn1 Zn 0.000 0.000 0.000
Pd1 Pd 0.250 0.250 0.250
# - D(E_F) (states/eV/atom) = 0.310
# - energy of formation (eV/atom) = -0.652
# - energy above the most stable polymorph in this dataset (meV per atom) = 0.0